Li2AlFeO4, optimized geometry, DFT PBE+U; symmetry = Pc; calculated total energy = -6.347 eV per atom; calculated volume = 177 Å³/cell
1.0
-0.0769 -1.5722 -5.2357
-4.7489 -1.5766 0.5432
-6.8671 4.2383 -1.1718
Li Al Fe O
4 2 2 8
Direct
0.3287 0.7521 0.7498
0.1630 0.5006 0.5020
0.6713 0.7521 0.2498
0.8370 0.5006 0.0020
0.1689 0.9960 0.0002
0.8311 0.9960 0.5002
0.6678 0.2455 0.7532
0.3322 0.2455 0.2532
0.8575 0.1094 0.9903
0.3330 0.3268 0.7740
0.6844 0.8910 0.7291
0.8176 0.6307 0.5111
0.1425 0.1094 0.4903
0.6670 0.3268 0.2740
0.3156 0.8910 0.2291
0.1824 0.6307 0.0111